! SrMgBr2, optimized geometry, DFT PBE; values from VASP
! **Size of the total moment**: 0.00 μB/f.u.
! **Uncorrected formation energy**: -1.26 eV per atom
! **Calculated total energy**: -11.7 eV per formula unit
! **Symmetry**: R-3m
&SYSTEM
  ibrav = 0, nat = 4, ntyp = 3
/
ATOMIC_SPECIES
Br 79.90 Br.upf
Sr 87.62 Sr.upf
Mg 24.30 Mg.upf
CELL_PARAMETERS angstrom
-8.581 -3.741 7.880
-7.244 -7.685 6.179
-4.955 -5.805 9.564
ATOMIC_POSITIONS angstrom
Br -2.520 -2.090 2.865
Br -18.260 -15.141 20.758
Sr -10.390 -8.615 11.811
Mg 0.000 0.000 0.000

=====

! SrMg2Br6, optimized geometry, DFT PBE; values from VASP
! **Size of the total moment**: 0.00 μB/f.u.
! **Uncorrected formation energy**: -1.62 eV per atom
! **Calculated total energy**: -29.5 eV per formula unit
! **Symmetry**: C2/m
&SYSTEM
  ibrav = 0, nat = 9, ntyp = 3
/
ATOMIC_SPECIES
Br 79.90 Br.upf
Mg 24.30 Mg.upf
Sr 87.62 Sr.upf
CELL_PARAMETERS angstrom
4.559 0.000 0.000
-2.280 7.047 0.482
0.000 -1.615 10.052
ATOMIC_POSITIONS angstrom
Br 0.000 4.422 4.441
Mg 0.000 3.304 2.051
Br 2.280 4.382 1.336
Br 0.000 0.868 2.494
Sr 0.000 -0.808 5.026
Br 0.000 1.050 9.198
Mg 2.280 2.128 8.482
Br 2.280 4.564 8.040
Br 2.280 1.010 6.093

=====

! SrMgBr2, optimized geometry, DFT PBE; values from VASP
! **Size of the total moment**: 0.00 μB/f.u.
! **Uncorrected formation energy**: -0.96 eV per atom
! **Calculated total energy**: -10.4 eV per formula unit
! **Symmetry**: R-3m
&SYSTEM
  ibrav = 0, nat = 4, ntyp = 3
/
ATOMIC_SPECIES
Br 79.90 Br.upf
Sr 87.62 Sr.upf
Mg 24.30 Mg.upf
CELL_PARAMETERS angstrom
4.904 5.140 7.781
6.256 1.319 8.375
8.090 3.736 5.622
ATOMIC_POSITIONS angstrom
Br 16.955 8.980 19.182
Sr 0.000 0.000 0.000
Br 2.294 1.215 2.596
Mg 9.625 5.098 10.889

=====

! SrMgBr3, optimized geometry, DFT PBE; values from VASP
! **Size of the total moment**: 0.00 μB/f.u.
! **Uncorrected formation energy**: -1.26 eV per atom
! **Calculated total energy**: -14.6 eV per formula unit
! **Symmetry**: Pm-3m
&SYSTEM
  ibrav = 0, nat = 5, ntyp = 3
/
ATOMIC_SPECIES
Br 79.90 Br.upf
Sr 87.62 Sr.upf
Mg 24.30 Mg.upf
CELL_PARAMETERS angstrom
-0.198 -0.737 -5.367
-1.767 -5.068 0.762
-5.121 1.777 -0.055
ATOMIC_POSITIONS angstrom
Br -2.561 0.889 -0.027
Sr -3.543 -2.014 -2.330
Br -0.099 -0.369 -2.684
Br -0.883 -2.534 0.381
Mg 0.000 0.000 0.000

=====

! SrMgBr2, optimized geometry, DFT PBE; values from VASP
! **Size of the total moment**: 0.00 μB/f.u.
! **Uncorrected formation energy**: -1.17 eV per atom
! **Calculated total energy**: -11.3 eV per formula unit
! **Symmetry**: Imm2
&SYSTEM
  ibrav = 0, nat = 4, ntyp = 3
/
ATOMIC_SPECIES
Br 79.90 Br.upf
Mg 24.30 Mg.upf
Sr 87.62 Sr.upf
CELL_PARAMETERS angstrom
8.162 0.139 -0.025
5.612 5.928 0.025
-6.588 -3.713 3.075
ATOMIC_POSITIONS angstrom
Br 4.366 -0.210 1.525
Mg 6.152 2.710 0.000
Sr 2.608 2.471 1.550
Br 0.947 0.417 0.000

=====

! SrMgBr2, optimized geometry, DFT PBE; values from VASP
! **Size of the total moment**: 0.00 μB/f.u.
! **Uncorrected formation energy**: -1.03 eV per atom
! **Calculated total energy**: -10.8 eV per formula unit
! **Symmetry**: I-4m2
&SYSTEM
  ibrav = 0, nat = 4, ntyp = 3
/
ATOMIC_SPECIES
Br 79.90 Br.upf
Mg 24.30 Mg.upf
Sr 87.62 Sr.upf
CELL_PARAMETERS angstrom
-3.290 -5.927 0.006
-0.783 -3.805 -5.555
4.800 3.332 3.436
ATOMIC_POSITIONS angstrom
Br 0.990 -2.670 -2.447
Mg -2.037 -4.866 -2.775
Br 0.000 0.000 0.000
Sr -0.263 -3.730 0.333

=====

! SrMgBr2, optimized geometry, DFT PBE; values from VASP
! **Size of the total moment**: 0.00 μB/f.u.
! **Uncorrected formation energy**: -1.23 eV per atom
! **Calculated total energy**: -11.5 eV per formula unit
! **Symmetry**: Pm
&SYSTEM
  ibrav = 0, nat = 4, ntyp = 3
/
ATOMIC_SPECIES
Sr 87.62 Sr.upf
Mg 24.30 Mg.upf
Br 79.90 Br.upf
CELL_PARAMETERS angstrom
4.305 0.000 0.000
0.000 6.394 0.027
0.000 3.667 5.527
ATOMIC_POSITIONS angstrom
Sr 2.152 7.495 4.262
Mg 0.000 5.115 2.547
Br 2.152 3.140 1.807
Br 0.000 9.404 5.268

=====

! SrMgBr, optimized geometry, DFT PBE; values from VASP
! **Size of the total moment**: 0.00 μB/f.u.
! **Uncorrected formation energy**: -0.75 eV per atom
! **Calculated total energy**: -7.2 eV per formula unit
! **Symmetry**: Fmm2
&SYSTEM
  ibrav = 0, nat = 3, ntyp = 3
/
ATOMIC_SPECIES
Mg 24.30 Mg.upf
Br 79.90 Br.upf
Sr 87.62 Sr.upf
CELL_PARAMETERS angstrom
7.911 0.082 -0.088
6.903 3.871 -0.063
1.008 0.254 3.780
ATOMIC_POSITIONS angstrom
Mg 5.273 1.397 2.566
Br 1.578 0.407 3.618
Sr 9.980 2.658 1.226

=====

! SrMgBr2, optimized geometry, DFT PBE; values from VASP
! **Size of the total moment**: 0.00 μB/f.u.
! **Uncorrected formation energy**: -1.26 eV per atom
! **Calculated total energy**: -11.7 eV per formula unit
! **Symmetry**: C2/m
&SYSTEM
  ibrav = 0, nat = 4, ntyp = 3
/
ATOMIC_SPECIES
Mg 24.30 Mg.upf
Br 79.90 Br.upf
Sr 87.62 Sr.upf
CELL_PARAMETERS angstrom
-3.900 2.199 0.430
-1.605 0.958 4.091
3.683 10.226 1.157
ATOMIC_POSITIONS angstrom
Mg -0.455 3.346 1.420
Br 3.101 9.352 1.225
Sr -1.366 10.037 4.259
Br -0.329 7.565 2.770

=====

! SrMg2Br, optimized geometry, DFT PBE; values from VASP
! **Size of the total moment**: 0.00 μB/f.u.
! **Uncorrected formation energy**: -0.31 eV per atom
! **Calculated total energy**: -7.8 eV per formula unit
! **Symmetry**: P4/mmm
&SYSTEM
  ibrav = 0, nat = 4, ntyp = 3
/
ATOMIC_SPECIES
Mg 24.30 Mg.upf
Sr 87.62 Sr.upf
Br 79.90 Br.upf
CELL_PARAMETERS angstrom
3.736 0.000 0.000
0.000 3.736 0.000
0.000 0.000 8.959
ATOMIC_POSITIONS angstrom
Mg 0.000 0.000 8.692
Sr 1.868 1.868 2.240
Br 1.868 1.868 6.719
Mg 0.000 0.000 4.746

=====

! SrMgBr, optimized geometry, DFT PBE; values from VASP
! **Size of the total moment**: 0.00 μB/f.u.
! **Uncorrected formation energy**: -0.51 eV per atom
! **Calculated total energy**: -6.5 eV per formula unit
! **Symmetry**: F-43m
&SYSTEM
  ibrav = 0, nat = 3, ntyp = 3
/
ATOMIC_SPECIES
Mg 24.30 Mg.upf
Sr 87.62 Sr.upf
Br 79.90 Br.upf
CELL_PARAMETERS angstrom
5.366 0.000 0.000
2.683 4.647 0.000
2.683 1.549 4.381
ATOMIC_POSITIONS angstrom
Mg 0.000 0.000 0.000
Sr 5.366 3.098 2.190
Br 8.048 4.647 3.286

=====

! SrMg2Br, optimized geometry, DFT PBE; values from VASP
! **Size of the total moment**: 0.00 μB/f.u.
! **Uncorrected formation energy**: -0.32 eV per atom
! **Calculated total energy**: -7.8 eV per formula unit
! **Symmetry**: Pmmm
&SYSTEM
  ibrav = 0, nat = 4, ntyp = 3
/
ATOMIC_SPECIES
Sr 87.62 Sr.upf
Mg 24.30 Mg.upf
Br 79.90 Br.upf
CELL_PARAMETERS angstrom
-0.267 -2.271 -3.478
5.583 -1.263 0.397
-1.332 -4.856 3.272
ATOMIC_POSITIONS angstrom
Sr 2.325 -2.981 -0.722
Mg -1.325 -4.832 3.257
Br 1.660 -5.409 0.914
Mg -0.672 -2.451 1.652

=====

! SrMgBr2, optimized geometry, DFT PBE; values from VASP
! **Size of the total moment**: 0.00 μB/f.u.
! **Uncorrected formation energy**: -1.10 eV per atom
! **Calculated total energy**: -11.0 eV per formula unit
! **Symmetry**: Fm-3m
&SYSTEM
  ibrav = 0, nat = 4, ntyp = 3
/
ATOMIC_SPECIES
Br 79.90 Br.upf
Mg 24.30 Mg.upf
Sr 87.62 Sr.upf
CELL_PARAMETERS angstrom
2.420 -4.868 -1.262
3.100 -2.646 3.812
-1.859 -4.724 2.317
ATOMIC_POSITIONS angstrom
Br 2.746 -9.179 3.650
Mg 0.000 0.000 0.000
Br 0.915 -3.060 1.217
Sr 1.830 -6.119 2.433

=====

! SrMg2Br6, optimized geometry, DFT PBE; values from VASP
! **Size of the total moment**: 0.00 μB/f.u.
! **Uncorrected formation energy**: -1.67 eV per atom
! **Calculated total energy**: -29.9 eV per formula unit
! **Symmetry**: P-31m
&SYSTEM
  ibrav = 0, nat = 9, ntyp = 3
/
ATOMIC_SPECIES
Br 79.90 Br.upf
Sr 87.62 Sr.upf
Mg 24.30 Mg.upf
CELL_PARAMETERS angstrom
-2.878 -5.158 3.097
-2.222 -2.439 -6.127
6.196 -1.964 2.486
ATOMIC_POSITIONS angstrom
Br 3.998 -4.917 -0.581
Sr 0.000 0.000 0.000
Mg 1.950 -4.702 1.164
Br 0.660 -2.993 -0.480
Br 0.146 -4.472 3.159
Br 0.948 -5.089 -3.702
Mg -0.856 -4.860 -1.707
Br -2.904 -4.644 0.038
Br 0.435 -6.568 -0.063

=====

! SrMgBr2, optimized geometry, DFT PBE; values from VASP
! **Size of the total moment**: 0.00 μB/f.u.
! **Uncorrected formation energy**: -1.12 eV per atom
! **Calculated total energy**: -11.1 eV per formula unit
! **Symmetry**: Immm
&SYSTEM
  ibrav = 0, nat = 4, ntyp = 3
/
ATOMIC_SPECIES
Sr 87.62 Sr.upf
Mg 24.30 Mg.upf
Br 79.90 Br.upf
CELL_PARAMETERS angstrom
-1.787 -2.500 5.722
4.235 -4.840 0.910
-0.160 6.464 -0.616
ATOMIC_POSITIONS angstrom
Sr 2.649 -1.023 1.805
Mg -0.362 0.147 4.211
Br 1.107 -3.320 2.999
Br 0.117 -0.351 0.317

=====

! SrMgBr3, optimized geometry, DFT PBE; values from VASP
! **Size of the total moment**: 1.00 μB/f.u.
! **Uncorrected formation energy**: -1.20 eV per atom
! **Calculated total energy**: -14.3 eV per formula unit
! **Symmetry**: Pm-3m
&SYSTEM
  ibrav = 0, nat = 5, ntyp = 3
/
ATOMIC_SPECIES
Br 79.90 Br.upf
Sr 87.62 Sr.upf
Mg 24.30 Mg.upf
CELL_PARAMETERS angstrom
-1.054 -4.948 3.116
-2.461 -2.497 -4.797
5.304 -2.142 -1.607
ATOMIC_POSITIONS angstrom
Br 2.652 -1.071 -0.803
Br -0.527 -2.474 1.558
Sr 0.000 0.000 0.000
Mg 0.894 -4.793 -1.644
Br -1.231 -1.248 -2.398

=====

! SrMgBr2, optimized geometry, DFT PBE; values from VASP
! **Size of the total moment**: 0.00 μB/f.u.
! **Uncorrected formation energy**: -1.12 eV per atom
! **Calculated total energy**: -11.1 eV per formula unit
! **Symmetry**: I-42d
&SYSTEM
  ibrav = 0, nat = 8, ntyp = 3
/
ATOMIC_SPECIES
Mg 24.30 Mg.upf
Sr 87.62 Sr.upf
Br 79.90 Br.upf
CELL_PARAMETERS angstrom
-7.016 0.487 -5.834
3.263 -7.235 -4.528
-3.990 -5.791 -2.842
ATOMIC_POSITIONS angstrom
Mg -1.302 -8.200 -6.276
Sr 0.000 0.000 0.000
Sr -6.441 -4.339 -6.929
Mg -1.877 -3.374 -5.181
Br -6.054 -10.741 -11.508
Br 0.644 -5.942 -3.872
Br -5.453 -2.014 -5.321
Br -4.622 -6.380 -5.709

=====

! SrMgBr2, optimized geometry, DFT PBE; values from VASP
! **Size of the total moment**: 0.00 μB/f.u.
! **Uncorrected formation energy**: -0.82 eV per atom
! **Calculated total energy**: -9.9 eV per formula unit
! **Symmetry**: F-43m
&SYSTEM
  ibrav = 0, nat = 4, ntyp = 3
/
ATOMIC_SPECIES
Sr 87.62 Sr.upf
Br 79.90 Br.upf
Mg 24.30 Mg.upf
CELL_PARAMETERS angstrom
-3.616 -3.435 2.653
0.562 -0.960 5.539
-3.768 2.127 3.632
ATOMIC_POSITIONS angstrom
Sr -5.117 -1.701 8.867
Br -1.706 -0.567 2.956
Br 0.000 0.000 0.000
Mg -3.411 -1.134 5.912

=====

! SrMgBr2, optimized geometry, DFT PBE; values from VASP
! **Size of the total moment**: 0.00 μB/f.u.
! **Uncorrected formation energy**: -1.17 eV per atom
! **Calculated total energy**: -11.3 eV per formula unit
! **Symmetry**: P4mm
&SYSTEM
  ibrav = 0, nat = 4, ntyp = 3
/
ATOMIC_SPECIES
Sr 87.62 Sr.upf
Br 79.90 Br.upf
Mg 24.30 Mg.upf
CELL_PARAMETERS angstrom
-0.645 2.920 -2.376
1.681 -1.930 -2.836
-8.101 -3.666 -2.307
ATOMIC_POSITIONS angstrom
Sr -5.633 -2.288 -4.358
Br -7.602 -3.440 -2.165
Mg -3.792 -1.716 -1.080
Br -2.189 -0.730 -3.377

=====

! Sr2MgBr6, optimized geometry, DFT PBE; values from VASP
! **Size of the total moment**: 0.00 μB/f.u.
! **Uncorrected formation energy**: -1.90 eV per atom
! **Calculated total energy**: -32.1 eV per formula unit
! **Symmetry**: P2_1/c
&SYSTEM
  ibrav = 0, nat = 18, ntyp = 3
/
ATOMIC_SPECIES
Br 79.90 Br.upf
Sr 87.62 Sr.upf
Mg 24.30 Mg.upf
CELL_PARAMETERS angstrom
7.031 0.000 -0.394
0.000 7.937 0.000
0.343 0.000 10.106
ATOMIC_POSITIONS angstrom
Br 2.371 6.603 4.316
Sr 4.045 7.087 7.394
Br 5.002 1.334 5.396
Br 6.058 5.302 9.173
Br 1.298 2.409 4.377
Br 6.076 5.528 5.335
Br 4.985 1.560 9.233
Mg 0.172 0.000 5.053
Br 1.153 0.275 7.506
Br 2.389 6.377 0.479
Br 1.316 2.634 0.540
Br 4.496 3.693 2.257
Sr 3.329 0.850 2.319
Mg 3.515 3.968 -0.197
Sr 0.358 4.819 2.538
Br 6.221 7.662 2.206
Br 2.877 4.244 7.455
Sr 7.016 3.118 7.175